1.
First-principles (GGA-PBE) data for a relaxed structure of Rb2Na4InPb2, as listed in the Alexandria database.

Computed properties:
space group	C2/m, No. 12
ΔH_f (0 K)	-0.10	eV per atom
D(E_F)	3.8	states/eV/f.u.
volume	38.89	Å³/atom
crystal system	monoclinic
E	-2.0260	eV per atom

Cell and atoms, written as POSCAR:
```
Rb2Na4InPb2
1.0
5.623 -3.618 0.000
5.623 3.618 0.000
-0.430 0.000 8.605
Rb Na In Pb
2 4 1 2
Cartesian
1.605 0.000 3.446
9.210 0.000 5.159
4.245 1.787 1.081
6.571 1.787 7.523
4.245 -1.787 1.081
6.571 -1.787 7.523
5.408 0.000 4.302
3.802 0.000 6.782
7.014 0.000 1.823
```



2.
First-principles (GGA-PBE) data for a relaxed structure of RbNa2InPb, as listed in the Alexandria database.

Computed properties:
space group	P4/mmm, No. 123
ΔH_f (0 K)	-0.01	eV per atom
D(E_F)	2.0	states/eV/f.u.
volume	44.04	Å³/atom
crystal system	tetragonal
E	-2.0214	eV per atom
distance to the lowest polymorph of the same formula	0	meV per atom

Cell and atoms, written as POSCAR:
```
RbNa2InPb
1.0
6.059 0.000 0.000
0.000 6.059 0.000
0.000 0.000 5.999
Rb Na In Pb
1 2 1 1
Cartesian
0.000 0.000 0.000
0.000 3.029 3.000
3.029 0.000 3.000
3.029 3.029 0.000
3.029 3.029 3.000
```



3.
First-principles (GGA-PBE) data for a relaxed structure of RbNaInPb, as listed in the Alexandria database.

Computed properties:
space group	F-43m, No. 216
ΔH_f (0 K)	-0.05	eV per atom
D(E_F)	3.7	states/eV/f.u.
volume	33.27	Å³/atom
crystal system	cubic
E	-2.2297	eV per atom
distance to the lowest polymorph of the same formula	29	meV per atom

Cell and atoms, written as POSCAR:
```
RbNaInPb
1.0
0.000 4.052 4.052
4.052 0.000 4.052
4.052 4.052 0.000
Rb Na In Pb
1 1 1 1
Cartesian
0.000 0.000 0.000
2.026 2.026 2.026
6.078 6.078 6.078
4.052 4.052 4.052
```